8
Lattice="-3.112 3.112 6.116 3.112 -3.112 6.116 3.112 3.112 -6.116" Properties=species:S:1:pos:R:3 comment="AgSb2As, relaxed, DFT GGA-PBEsol" magnetic_moment_mub_per_fu=0.0 energy_ry_per_atom=-0.307 mass_density_g_cm3=5.98 raw_formation_energy_mev_per_atom=205 pbc="T T T"
Ag 0.000 0.000 0.000
Ag 0.000 3.112 3.058
Sb 4.667 1.531 -1.529
Sb 1.531 1.556 1.529
Sb -1.556 1.580 4.587
Sb 1.580 1.556 7.645
As 3.112 0.000 3.058
As 0.000 0.000 6.116